1.
La2CdCoPb: relaxed, PBE-GGA.

Values from the calculation:
Its formation energy is -335 meV per atom. Its symmetry is No. 123. The total energy comes out at -4.652 eV per atom.

a = 5.2114 Å, b = 5.2114 Å, c = 5.0932 Å
α = 90.00°, β = 90.00°, γ = 90.00°
Positions (direct):
La 0.0000 0.5000 0.0000
La 0.5000 0.0000 0.0000
Cd 0.0000 0.0000 0.5000
Co 0.0000 0.0000 0.0000
Pb 0.5000 0.5000 0.5000

2.
La4CdCoPb: relaxed, PBE-GGA.

Values from the calculation:
Its formation energy is -286 meV per atom. Its symmetry is No. 63. The total energy comes out at -4.777 eV per atom.

a = 9.2826 Å, b = 9.2826 Å, c = 7.2688 Å
α = 90.00°, β = 90.00°, γ = 133.68°
Positions (direct):
La 0.0000 0.5000 0.0000
La 0.0000 0.5000 0.5000
La 0.0742 0.9258 0.7500
La 0.4246 0.5754 0.7500
La 0.5000 0.0000 0.0000
La 0.5000 0.0000 0.5000
La 0.5754 0.4246 0.2500
La 0.9258 0.0742 0.2500
Cd 0.1143 0.8857 0.2500
Cd 0.8857 0.1143 0.7500
Co 0.2437 0.7563 0.7500
Co 0.7563 0.2437 0.2500
Pb 0.3872 0.6128 0.2500
Pb 0.6128 0.3872 0.7500

3.
La2CdCoPb: relaxed, PBE-GGA.

Values from the calculation:
Its formation energy is -269 meV per atom. Its symmetry is No. 123. The total energy comes out at -4.586 eV per atom.

a = 5.3168 Å, b = 5.3168 Å, c = 5.0199 Å
α = 90.00°, β = 90.00°, γ = 90.00°
Positions (direct):
La 0.0000 0.5000 0.0000
La 0.5000 0.0000 0.0000
Cd 0.0000 0.0000 0.5000
Co 0.5000 0.5000 0.0000
Pb 0.5000 0.5000 0.5000

4.
LaCdCoPd2: relaxed, PBE-GGA.

Values from the calculation:
Its formation energy is 1053 meV per atom. Its symmetry is No. 123. The total energy comes out at -3.613 eV per atom.

a = 4.8871 Å, b = 4.8871 Å, c = 5.7654 Å
α = 90.00°, β = 90.00°, γ = 90.00°
Positions (direct):
La 0.0000 0.0000 0.0000
Cd 0.0000 0.0000 0.5000
Co 0.5000 0.5000 0.0000
Pd 0.0000 0.5000 0.5000
Pd 0.5000 0.0000 0.5000

5.
La5PmCd2Co: relaxed, PBE-GGA.

Values from the calculation:
Its formation energy is -103 meV per atom. Its symmetry is No. 36. The total energy comes out at -4.361 eV per atom.

a = 10.7114 Å, b = 10.7114 Å, c = 13.8950 Å
α = 90.00°, β = 90.00°, γ = 159.54°
Positions (direct):
La 0.0075 0.9925 0.5000
La 0.1366 0.8634 0.8678
La 0.2291 0.7709 0.5132
La 0.2296 0.7704 0.2228
La 0.3850 0.6150 0.8679
La 0.6150 0.3850 0.3679
La 0.7704 0.2296 0.7228
La 0.7709 0.2291 0.0132
La 0.8634 0.1366 0.3678
La 0.9925 0.0075 0.0000
Pm 0.0076 0.9924 0.2303
Pm 0.9924 0.0076 0.7303
Cd 0.3881 0.6119 0.1433
Cd 0.3880 0.6120 0.5948
Cd 0.6120 0.3880 0.0948
Cd 0.6119 0.3881 0.6433
Co 0.2606 0.7394 0.8678
Co 0.7394 0.2606 0.3678

6.
La2PrCdCo: relaxed, PBE-GGA.

Values from the calculation:
Its formation energy is -161 meV per atom. Its symmetry is No. 11. The total energy comes out at -4.692 eV per atom.

a = 7.6611 Å, b = 3.9671 Å, c = 9.6558 Å
α = 90.00°, β = 95.63°, γ = 90.00°
Positions (direct):
La 0.1385 0.2500 0.3056
La 0.3146 0.7500 0.6109
La 0.6854 0.2500 0.3891
La 0.8615 0.7500 0.6944
Pr 0.1741 0.2500 0.9207
Pr 0.8259 0.7500 0.0793
Cd 0.4147 0.7500 0.1430
Cd 0.5853 0.2500 0.8570
Co 0.0670 0.2500 0.6053
Co 0.9330 0.7500 0.3947

7.
La3Pr3Cd2Co: relaxed, PBE-GGA.

Values from the calculation:
Its formation energy is -188 meV per atom. Its symmetry is No. 189. The total energy comes out at -4.416 eV per atom.

a = 9.0562 Å, b = 9.0562 Å, c = 3.7799 Å
α = 90.00°, β = 90.00°, γ = 120.00°
Positions (direct):
La 0.0000 0.7694 0.0000
La 0.2306 0.2306 0.0000
La 0.7694 0.0000 0.0000
Pr 0.0000 0.4039 0.5000
Pr 0.4039 0.0000 0.5000
Pr 0.5961 0.5961 0.5000
Cd 0.3333 0.6667 0.0000
Cd 0.6667 0.3333 0.0000
Co 0.0000 0.0000 0.5000

8.
La3PrCdCo: relaxed, PBE-GGA.

Values from the calculation:
Its formation energy is -132 meV per atom. Its symmetry is No. 12. The total energy comes out at -4.729 eV per atom.

a = 9.3657 Å, b = 9.3657 Å, c = 6.1365 Å
α = 108.70°, β = 108.70°, γ = 45.64°
Positions (direct):
La 0.1258 0.6380 0.8809
La 0.3079 0.3079 0.2920
La 0.3620 0.8742 0.1191
La 0.6380 0.1258 0.8809
La 0.6921 0.6921 0.7080
La 0.8742 0.3620 0.1191
Pr 0.2393 0.7607 0.5000
Pr 0.7607 0.2393 0.5000
Cd 0.1915 0.1915 0.6900
Cd 0.8085 0.8085 0.3100
Co 0.4682 0.4682 0.1510
Co 0.5318 0.5318 0.8490